First-principles (PBE) data for an optimized crystal structure of LiCe2Ga4, as listed in Alexandria via LeMat-Bulk.

Magnetic moment: 1.54 μB per cell
ΔH_f (0 K): -0.26 eV per atom

abc: 8.213 8.213 8.213
angles: 148.25 148.25 45.52
Fractional positions:
Li 0.000 0.000 0.000
Ce 0.357 0.357 0.000
Ce 0.643 0.643 0.000
Ga 0.000 0.500 0.500
Ga 0.158 0.158 0.000
Ga 0.500 0.000 0.500
Ga 0.842 0.842 0.000